[1]
Below is a relaxed structure of Ti6GaPd12, with properties calculated at the PBE level.

- SG: No. 148
- DFT formation energy: -533 meV/atom

Unit cell a=7.395 b=7.395 c=7.395 alpha=110.89 beta=110.89 gamma=110.89
Sites, in units of the cell vectors:
Ti  0.627  0.915  0.406
Ti  0.594  0.373  0.085
Ti  0.085  0.594  0.373
Ti  0.373  0.085  0.594
Ti  0.406  0.627  0.915
Ti  0.915  0.406  0.627
Ga  0.000  0.000  0.000
Pd  0.797  0.674  0.528
Pd  0.528  0.797  0.674
Pd  0.674  0.528  0.797
Pd  0.203  0.326  0.472
Pd  0.472  0.203  0.326
Pd  0.326  0.472  0.203
Pd  0.890  0.835  0.263
Pd  0.165  0.737  0.110
Pd  0.737  0.110  0.165
Pd  0.110  0.165  0.737
Pd  0.835  0.263  0.890
Pd  0.263  0.890  0.835

=====

[2]
Below is a relaxed structure of CrSbAu2, with properties calculated at the PBE level.

- SG: No. 216
- Raw formation energy: 174.6 meV per atom

Unit cell a=4.771 b=4.771 c=4.771 alpha=60.00 beta=60.00 gamma=60.00
Last column: magnetic moment on the atom in μB.
Sites, in units of the cell vectors:
Au  0.000  0.000  0.000  -0.01
Au  0.250  0.250  0.250  -0.02
Cr  0.500  0.500  0.500  3.55
Sb  0.750  0.750  0.750  -0.08

=====

[3]
Below is a relaxed structure of Pm12Sn3H5, with properties calculated at the PBE level.

- Uncorrected energy: -4.6336 eV per atom
- SG: No. 230

Unit cell a=13.902 b=13.902 c=13.902 alpha=109.47 beta=109.47 gamma=109.47
Sites, in units of the cell vectors:
Sn  0.750  0.375  0.125
Sn  0.875  0.750  0.125
Sn  0.375  0.750  0.625
Sn  0.250  0.125  0.375
Sn  0.875  0.125  0.250
Sn  0.375  0.625  0.250
Sn  0.625  0.375  0.750
Sn  0.125  0.875  0.750
Sn  0.750  0.875  0.625
Sn  0.625  0.250  0.375
Sn  0.125  0.250  0.875
Sn  0.250  0.625  0.875
H  0.125  0.375  0.250
H  0.000  0.500  0.000
H  0.000  0.000  0.000
H  0.375  0.250  0.125
H  0.500  0.000  0.500
H  0.500  0.500  0.000
H  0.125  0.750  0.375
H  0.750  0.125  0.875
H  0.750  0.625  0.375
H  0.375  0.125  0.750
H  0.625  0.875  0.250
H  0.500  0.500  0.500
H  0.500  0.000  0.000
H  0.000  0.000  0.500
H  0.250  0.375  0.625
H  0.250  0.875  0.125
H  0.000  0.500  0.500
H  0.875  0.250  0.625
H  0.625  0.750  0.875
H  0.875  0.625  0.750
Pm  0.707  0.110  0.015
Pm  0.309  0.515  0.405
Pm  0.985  0.390  0.293
Pm  0.515  0.207  0.110
Pm  0.596  0.707  0.691
Pm  0.985  0.595  0.191
Pm  0.309  0.793  0.404
Pm  0.095  0.904  0.110
Pm  0.595  0.985  0.691
Pm  0.707  0.596  0.191
Pm  0.793  0.485  0.390
Pm  0.809  0.905  0.015
Pm  0.110  0.707  0.515
Pm  0.390  0.405  0.096
Pm  0.096  0.905  0.390
Pm  0.404  0.110  0.595
Pm  0.096  0.191  0.207
Pm  0.485  0.691  0.095
Pm  0.809  0.904  0.293
Pm  0.110  0.404  0.095
Pm  0.390  0.985  0.793
Pm  0.595  0.610  0.404
Pm  0.905  0.809  0.515
Pm  0.793  0.309  0.904
Pm  0.405  0.390  0.596
Pm  0.095  0.191  0.485
Pm  0.207  0.691  0.096
Pm  0.191  0.096  0.707
Pm  0.610  0.015  0.207
Pm  0.890  0.596  0.905
Pm  0.515  0.309  0.905
Pm  0.596  0.890  0.405
Pm  0.904  0.809  0.793
Pm  0.904  0.095  0.610
Pm  0.890  0.293  0.485
Pm  0.191  0.095  0.985
Pm  0.610  0.595  0.904
Pm  0.405  0.015  0.309
Pm  0.293  0.404  0.809
Pm  0.207  0.515  0.610
Pm  0.905  0.096  0.890
Pm  0.691  0.207  0.596
Pm  0.485  0.793  0.890
Pm  0.015  0.405  0.809
Pm  0.404  0.293  0.309
Pm  0.015  0.610  0.707
Pm  0.691  0.485  0.595
Pm  0.293  0.890  0.985

=====

[4]
Below is a relaxed structure of Eu2HgPd, with properties calculated at the PBE level.

- SG: No. 123
- E above lowest polymorph: 0.00 eV/f.u.
- DFT formation energy: -597 meV/atom

Unit cell a=3.758 b=3.758 c=7.514 alpha=90.00 beta=90.00 gamma=90.00
Last column: magnetic moment on the atom in μB.
Sites, in units of the cell vectors:
Eu  0.000  0.000  0.769  6.84
Eu  0.000  0.000  0.231  6.84
Hg  0.500  0.500  0.500  0.01
Pd  0.500  0.500  0.000  -0.06

=====

[5]
Below is a relaxed structure of KTa4Au, with properties calculated at the PBE level.

- SG: No. 216
- DFT formation energy: 924 meV/atom

Unit cell a=5.637 b=5.637 c=5.637 alpha=60.00 beta=60.00 gamma=60.00
Sites, in units of the cell vectors:
K  0.000  0.000  0.000
Ta  0.879  0.374  0.374
Ta  0.374  0.374  0.879
Ta  0.374  0.879  0.374
Ta  0.374  0.374  0.374
Au  0.750  0.750  0.750

=====

[6]
Below is a relaxed structure of BaZnI2, with properties calculated at the PBE level.

- SG: No. 225
- E above lowest polymorph: 0.00 eV/f.u.
- Raw formation energy: -1059.4 meV per atom

Unit cell a=6.012 b=6.012 c=6.012 alpha=60.00 beta=60.00 gamma=60.00
Sites, in units of the cell vectors:
I  0.250  0.250  0.250
I  0.750  0.750  0.750
Zn  0.000  0.000  0.000
Ba  0.500  0.500  0.500

=====

[7]
Below is a relaxed structure of ReAsBr2F, with properties calculated at the PBE level.

- SG: No. 123
- E above lowest polymorph: 0.00 eV/f.u.
- Raw formation energy: 265.8 meV per atom

Unit cell a=5.033 b=5.033 c=4.777 alpha=90.00 beta=90.00 gamma=90.00
Last column: magnetic moment on the atom in μB.
Sites, in units of the cell vectors:
Re  0.000  0.000  0.000  0.56
As  0.000  0.000  0.500  -0.07
Br  0.000  0.500  0.000  0.04
Br  0.500  0.000  0.000  0.04
F  0.500  0.500  0.500  -0.06

=====

[8]
Below is a relaxed structure of PmInAgRh, with properties calculated at the PBE level.

- SG: No. 216
- DFT formation energy: -406 meV/atom

Unit cell a=4.906 b=4.906 c=4.906 alpha=60.00 beta=60.00 gamma=60.00
Sites, in units of the cell vectors:
In  0.000  0.000  0.000
Rh  0.750  0.750  0.750
Ag  0.250  0.250  0.250
Pm  0.500  0.500  0.500

=====

[9]
Below is a relaxed structure of CsTiCo2Sb, with properties calculated at the PBE level.

- SG: No. 123
- E above lowest polymorph: 0.00 eV/f.u.
- Raw formation energy: 1395.8 meV per atom

Unit cell a=4.695 b=5.716 c=4.695 alpha=90.00 beta=90.00 gamma=90.00
Last column: magnetic moment on the atom in μB.
Sites, in units of the cell vectors:
Cs  0.000  0.500  0.000  -0.02
Sb  0.500  0.500  0.500  0.04
Co  0.000  0.000  0.500  1.45
Co  0.500  0.000  0.000  1.07
Ti  0.000  0.000  0.000  -0.92

=====

[10]
Below is a relaxed structure of CaCe2Tc, with properties calculated at the PBE level.

- SG: No. 123
- E above lowest polymorph: 0.00 eV/f.u.
- DFT formation energy: 63 meV/atom

Unit cell a=3.430 b=3.430 c=9.733 alpha=90.00 beta=90.00 gamma=90.00
Last column: magnetic moment on the atom in μB.
Sites, in units of the cell vectors:
Ca  0.500  0.500  0.500  0.04
Tc  0.500  0.500  0.000  -0.12
Ce  0.000  0.000  0.826  0.54
Ce  0.000  0.000  0.174  0.54

=====

[11]
Below is a relaxed structure of RbTe3C, with properties calculated at the PBE level.

- SG: No. 221
- Raw formation energy: 664.0 meV per atom

Unit cell a=5.091 b=5.091 c=5.091 alpha=90.00 beta=90.00 gamma=90.00
Sites, in units of the cell vectors:
C  0.000  0.000  0.000
Te  0.000  0.500  0.000
Te  0.000  0.000  0.500
Te  0.500  0.000  0.000
Rb  0.500  0.500  0.500

=====

[12]
Below is a relaxed structure of Ba4GaI2Br, with properties calculated at the PBE level.

- SG: No. 10
- Raw formation energy: -1189.6 meV per atom

Unit cell a=4.765 b=8.588 c=8.928 alpha=107.81 beta=90.00 gamma=90.00
Sites, in units of the cell vectors:
Ba  0.500  0.257  0.221
Ba  0.500  0.743  0.779
Ba  0.000  0.270  0.778
Ba  0.000  0.730  0.222
Ga  0.500  0.500  0.000
I  0.500  0.000  0.500
I  0.000  0.500  0.500
Br  0.000  0.000  0.000